Here is crystalline Tl2Zn2IrO6 at its relaxed geometry from Alexandria. Energies are from GGA-PBE. Values from VASP.

Geometry as Quantum ESPRESSO input:
```
&SYSTEM
  ibrav = 0, nat = 11, ntyp = 4
/
ATOMIC_SPECIES
Tl 204.38 Tl.upf
Zn 65.41 Zn.upf
Ir 192.22 Ir.upf
O 16.00 O.upf
CELL_PARAMETERS angstrom
2.7440 -4.6866 0.0000
2.7440 4.6866 0.0000
-1.7294 0.0000 6.2672
ATOMIC_POSITIONS crystal
Tl 0.1692 0.8308 0.0000
Tl 0.8308 0.1692 0.0000
Zn 0.3358 0.6642 0.5000
Zn 0.6642 0.3358 0.5000
Ir 0.0000 0.0000 0.5000
O 0.0447 0.3569 0.6671
O 0.2508 0.2508 0.3287
O 0.3569 0.0447 0.6671
O 0.6431 0.9553 0.3329
O 0.7492 0.7492 0.6713
O 0.9553 0.6431 0.3329
```

Output
Energy relative to the elements, uncorrected ... -0.849 eV/atom
Calculated total energy ... -55.226 eV for the cell shown
SG ... C2/m (12)
D(E_F) ... 0.519 states/eV/atom

---

Here is crystalline TlZnIrO6 at its relaxed geometry from Alexandria. Energies are from GGA-PBE. Values from VASP.

Geometry as Quantum ESPRESSO input:
```
&SYSTEM
  ibrav = 0, nat = 18, ntyp = 4
/
ATOMIC_SPECIES
Tl 204.38 Tl.upf
Zn 65.41 Zn.upf
Ir 192.22 Ir.upf
O 16.00 O.upf
CELL_PARAMETERS angstrom
5.3130 0.0000 0.0000
-2.6565 4.6012 0.0000
0.0000 0.0000 9.2952
ATOMIC_POSITIONS crystal
Tl 0.0000 0.0000 0.0000
Tl 0.0000 0.0000 0.5000
Zn 0.3333 0.6667 0.2500
Zn 0.6667 0.3333 0.7500
Ir 0.3333 0.6667 0.7500
Ir 0.6667 0.3333 0.2500
O 0.0210 0.3794 0.6350
O 0.0210 0.6416 0.8650
O 0.3584 0.3794 0.8650
O 0.3584 0.9790 0.6350
O 0.3794 0.0210 0.1350
O 0.3794 0.3584 0.3650
O 0.6206 0.6416 0.6350
O 0.6206 0.9790 0.8650
O 0.6416 0.0210 0.3650
O 0.6416 0.6206 0.1350
O 0.9790 0.3584 0.1350
O 0.9790 0.6206 0.3650
```

Output
Energy relative to the elements, uncorrected ... -0.672 eV/atom
Calculated total energy ... -96.600 eV for the cell shown
SG ... P-31c (163)
D(E_F) ... 0.579 states/eV/atom

---

Here is crystalline ZrTl2Ir3O12 at its relaxed geometry from Alexandria. Energies are from GGA-PBE. Values from VASP.

Geometry as Quantum ESPRESSO input:
```
&SYSTEM
  ibrav = 0, nat = 18, ntyp = 4
/
ATOMIC_SPECIES
Zr 91.22 Zr.upf
Tl 204.38 Tl.upf
Ir 192.22 Ir.upf
O 16.00 O.upf
CELL_PARAMETERS angstrom
3.6242 2.0924 6.1492
-3.6242 2.0924 6.1492
0.0000 -4.1848 6.1492
ATOMIC_POSITIONS crystal
Zr 0.0000 0.0000 0.0000
Tl 0.3417 0.3417 0.3417
Tl 0.6583 0.6583 0.6583
Ir 0.0000 0.0000 0.5000
Ir 0.0000 0.5000 0.0000
Ir 0.5000 0.0000 0.0000
O 0.0762 0.6904 0.6904
O 0.0778 0.0778 0.6561
O 0.0778 0.6561 0.0778
O 0.3096 0.3096 0.9238
O 0.3096 0.9238 0.3096
O 0.3439 0.9222 0.9222
O 0.6561 0.0778 0.0778
O 0.6904 0.0762 0.6904
O 0.6904 0.6904 0.0762
O 0.9222 0.3439 0.9222
O 0.9222 0.9222 0.3439
O 0.9238 0.3096 0.3096
```

Output
Energy relative to the elements, uncorrected ... -1.036 eV/atom
Calculated total energy ... -118.010 eV for the cell shown
SG ... R-3m (166)
D(E_F) ... 0.799 states/eV/atom